The following is a DFT calculation (PBE) of a relaxed V2GaSb crystal.

Values from the calculation:
Fermi-level density of states (states/eV per cell): 3.88
Final energy (Ry/atom): -0.4457
Space-group type: R-3m (166)
Raw formation energy (kJ/mol of atoms): 27.3

abc: 3.614 3.614 6.615
angles: 74.15 74.15 60.00
Element x y z (fractional)
V (0.262, 0.262, 0.215)
V (0.738, 0.738, 0.785)
Ga (0.000, 0.000, 0.000)
Sb (0.500, 0.500, 0.500)

The following is a DFT calculation (PBE) of a relaxed V2Ga2Sb crystal.

Values from the calculation:
Fermi-level density of states (states/eV per cell): 6.35
Final energy (Ry/atom): -0.4161
Space-group type: P4/mbm (127)
Raw formation energy (kJ/mol of atoms): 2.1

abc: 6.764 6.764 3.711
angles: 90.00 90.00 90.00
Element x y z (fractional)
Ga (0.837, 0.337, 0.500)
Ga (0.337, 0.163, 0.500)
Ga (0.163, 0.663, 0.500)
Ga (0.663, 0.837, 0.500)
Sb (0.000, 0.000, 0.000)
Sb (0.500, 0.500, 0.000)
V (0.129, 0.371, 0.000)
V (0.871, 0.629, 0.000)
V (0.371, 0.871, 0.000)
V (0.629, 0.129, 0.000)

The following is a DFT calculation (PBE) of a relaxed V2GaSb crystal.

Values from the calculation:
Fermi-level density of states (states/eV per cell): 6.41
Final energy (Ry/atom): -0.4535
Space-group type: Fm-3m (225)
Raw formation energy (kJ/mol of atoms): 17.0

abc: 4.491 4.491 4.491
angles: 60.00 60.00 60.00
Element x y z (fractional)
Ga (0.000, 0.000, 0.000)
V (0.750, 0.750, 0.750)
V (0.250, 0.250, 0.250)
Sb (0.500, 0.500, 0.500)

The following is a DFT calculation (PBE) of a relaxed GaSbW2 crystal.

Values from the calculation:
Fermi-level density of states (states/eV per cell): 4.45
Final energy (Ry/atom): -0.5577
Space-group type: I-42d (122)
Raw formation energy (kJ/mol of atoms): 65.2

abc: 4.039 4.039 9.926
angles: 78.26 78.26 90.00
Element x y z (fractional)
Sb (0.750, 0.250, 0.500)
Sb (0.000, 0.000, 0.000)
W (0.177, 0.625, 0.250)
W (0.875, 0.823, 0.750)
W (0.375, 0.427, 0.750)
W (0.573, 0.125, 0.250)
Ga (0.250, 0.750, 0.500)
Ga (0.500, 0.500, 0.000)

The following is a DFT calculation (PBE) of a relaxed GaSbW2 crystal.

Values from the calculation:
Fermi-level density of states (states/eV per cell): 6.05
Final energy (Ry/atom): -0.5623
Space-group type: Fm-3m (225)
Raw formation energy (kJ/mol of atoms): 59.2

abc: 4.579 4.579 4.579
angles: 60.00 60.00 60.00
Element x y z (fractional)
W (0.750, 0.750, 0.750)
W (0.250, 0.250, 0.250)
Sb (0.500, 0.500, 0.500)
Ga (0.000, 0.000, 0.000)

The following is a DFT calculation (PBE) of a relaxed YGa2Sb2 crystal.

Values from the calculation:
Fermi-level density of states (states/eV per cell): 5.88
Final energy (Ry/atom): -0.3197
Space-group type: P4/mbm (127)
Raw formation energy (kJ/mol of atoms): -19.1

abc: 7.912 7.912 4.031
angles: 90.00 90.00 90.00
Element x y z (fractional)
Y (0.000, 0.000, 0.000)
Y (0.500, 0.500, 0.000)
Sb (0.363, 0.863, 0.000)
Sb (0.863, 0.637, 0.000)
Sb (0.137, 0.363, 0.000)
Sb (0.637, 0.137, 0.000)
Ga (0.164, 0.664, 0.500)
Ga (0.836, 0.336, 0.500)
Ga (0.336, 0.164, 0.500)
Ga (0.664, 0.836, 0.500)

The following is a DFT calculation (PBE) of a relaxed Y5Ga2Sb2 crystal.

Values from the calculation:
Fermi-level density of states (states/eV per cell): 13.21
Final energy (Ry/atom): -0.4447
Space-group type: Cmce (64)
Raw formation energy (kJ/mol of atoms): -84.0

abc: 7.936 7.937 8.661
angles: 117.27 90.00 90.00
Element x y z (fractional)
Y (0.831, 0.801, 0.262)
Y (0.669, 0.301, 0.262)
Y (0.331, 0.699, 0.738)
Y (0.000, 0.000, 0.000)
Y (0.169, 0.461, 0.262)
Y (0.669, 0.039, 0.738)
Y (0.500, 0.500, 0.000)
Y (0.331, 0.961, 0.262)
Y (0.831, 0.539, 0.738)
Y (0.169, 0.199, 0.738)
Sb (0.500, 0.706, 0.411)
Sb (0.500, 0.294, 0.589)
Sb (0.000, 0.206, 0.411)
Sb (0.000, 0.794, 0.589)
Ga (0.877, 0.376, 0.000)
Ga (0.377, 0.124, 0.000)
Ga (0.623, 0.876, 0.000)
Ga (0.123, 0.624, 0.000)

The following is a DFT calculation (PBE) of a relaxed Y10Ga3Sb3 crystal.

Values from the calculation:
Fermi-level density of states (states/eV per cell): 12.24
Final energy (Ry/atom): -0.4515
Space-group type: P-62m (189)
Raw formation energy (kJ/mol of atoms): -73.5

abc: 6.516 8.785 8.785
angles: 120.00 90.00 90.00
Element x y z (fractional)
Y (0.500, 0.760, 0.000)
Y (0.259, 0.667, 0.333)
Y (0.741, 0.333, 0.667)
Y (0.741, 0.667, 0.333)
Y (0.259, 0.333, 0.667)
Y (0.000, 0.239, 0.000)
Y (0.000, 0.761, 0.761)
Y (0.500, 0.240, 0.240)
Y (0.000, 0.000, 0.239)
Y (0.500, 0.000, 0.760)
Sb (0.000, 0.603, 0.000)
Sb (0.000, 0.397, 0.397)
Sb (0.000, 0.000, 0.603)
Ga (0.500, 0.000, 0.394)
Ga (0.500, 0.606, 0.606)
Ga (0.500, 0.394, 0.000)

Question: Among the records above, which one has the highest raw formation energy?
Answer: number 4